## BiAuN2O (PBE)

Data for an optimized crystal structure of BiAuN2O.

Structure (extended XYZ):
```
5
Lattice="-3.0102 3.0405 1.0465 -1.3994 -2.5293 3.3234 2.7520 1.8430 2.5615" Properties=species:S:1:pos:R:3 pbc="T T T"
Bi 0.0000 0.0000 0.0000
O 1.3760 0.9215 1.2807
Au -0.8288 1.1771 3.4657
N -0.6997 -1.2647 1.6617
N -1.5051 1.5203 0.5232
```

**E_form (uncorrected)**: 1.53 eV per atom
**Space group**: P4/mmm
**Energy**: -4.23 eV per atom

=====

## BiPPdAuN (PBE)

Data for an optimized crystal structure of BiPPdAuN.

Structure (extended XYZ):
```
5
Lattice="-2.9653 1.4521 1.5401 -3.8281 -1.1730 -2.1253 -2.4623 -5.8480 3.0858" Properties=species:S:1:pos:R:3 pbc="T T T"
Au -4.3817 -0.3283 0.9750
P -8.1186 -5.1179 2.1604
Pd -5.9650 -4.4741 1.3729
N -5.1879 -4.8631 3.3797
Bi -3.3214 -3.0633 0.9858
```

**E_form (uncorrected)**: 0.18 eV per atom
**Energy above the most stable polymorph in this dataset**: 122.0 meV per atom
**Space group**: P1
**Energy**: -5.04 eV per atom

=====

## BiPPdAuN (PBE)

Data for an optimized crystal structure of BiPPdAuN.

Structure (extended XYZ):
```
5
Lattice="-0.5141 3.4309 0.0130 -4.2133 -0.6339 1.0809 3.0826 0.4286 5.8939" Properties=species:S:1:pos:R:3 pbc="T T T"
Pd 0.6421 2.3084 5.4333
Au -2.2396 0.1296 2.2714
N 2.2185 0.7915 5.0374
Bi -0.1690 2.1915 2.7403
P -0.4494 0.3886 6.0215
```

**E_form (uncorrected)**: 0.09 eV per atom
**Energy above the most stable polymorph in this dataset**: 36.1 meV per atom
**Space group**: P1
**Energy**: -5.13 eV per atom